Entry 1:
# HfTcH | Alexandria via LeMat-Bulk | GGA-PBE | relaxed
data_HfTcH
_chemical_formula_sum 'Hf2 Tc2 H2'
_space_group_name_H-M_alt 'P 1'
_space_group_IT_number 1
_space_group_name_Hall 'P 1'
_cell_length_a 2.897
_cell_length_b 2.897
_cell_length_c 9.569
_cell_angle_alpha 98.71
_cell_angle_beta 98.71
_cell_angle_gamma 90.00
loop_
_atom_site_label
_atom_site_type_symbol
_atom_site_fract_x
_atom_site_fract_y
_atom_site_fract_z
H1 H 0.289 0.289 0.578
H2 H 0.711 0.711 0.422
Hf1 Hf 0.178 0.178 0.355
Hf2 Hf 0.822 0.822 0.645
Tc1 Tc 0.560 0.560 0.120
Tc2 Tc 0.440 0.440 0.880
# * calculated volume: 78 Å³/cell
# * DFT total energy: -7.80 eV per atom
# * SG: No. 139
# * total magnetization: 0.0 μB/cell

=====

Entry 2:
# CeHfZnPd | Alexandria via LeMat-Bulk | GGA-PBE | relaxed
data_CeHfZnPd
_chemical_formula_sum 'Ce1 Hf1 Zn1 Pd1'
_space_group_name_H-M_alt 'P 1'
_space_group_IT_number 1
_space_group_name_Hall 'P 1'
_cell_length_a 4.899
_cell_length_b 4.899
_cell_length_c 4.899
_cell_angle_alpha 60.00
_cell_angle_beta 60.00
_cell_angle_gamma 60.00
loop_
_atom_site_label
_atom_site_type_symbol
_atom_site_fract_x
_atom_site_fract_y
_atom_site_fract_z
Zn1 Zn 0.000 0.000 0.000
Hf1 Hf 0.750 0.750 0.750
Pd1 Pd 0.500 0.500 0.500
Ce1 Ce 0.250 0.250 0.250
# * energy of formation: -25.0 kJ per mole of atoms
# * calculated volume: 83 Å³/cell
# * DFT total energy: -5.85 eV per atom
# * SG: No. 216
# * total magnetization: 0.9 μB/cell

=====

Entry 3:
# Ho2ErAgN | Alexandria via LeMat-Bulk | GGA-PBE | relaxed
data_Ho2ErAgN
_chemical_formula_sum 'Ho2 Er1 Ag1 N1'
_space_group_name_H-M_alt 'P 1'
_space_group_IT_number 1
_space_group_name_Hall 'P 1'
_cell_length_a 4.779
_cell_length_b 4.779
_cell_length_c 4.711
_cell_angle_alpha 90.00
_cell_angle_beta 90.00
_cell_angle_gamma 90.00
loop_
_atom_site_label
_atom_site_type_symbol
_atom_site_fract_x
_atom_site_fract_y
_atom_site_fract_z
Ho1 Ho 0.000 0.500 0.000
Ho2 Ho 0.500 0.000 0.000
Er1 Er 0.000 0.000 0.500
Ag1 Ag 0.500 0.500 0.500
N1 N 0.000 0.000 0.000
# * calculated volume: 108 Å³/cell
# * DFT total energy: -5.74 eV per atom
# * SG: No. 123
# * total magnetization: 0.0 μB/cell

=====

Entry 4:
# LaTb2Si2 | Alexandria via LeMat-Bulk | GGA-PBE | relaxed
data_LaTb2Si2
_chemical_formula_sum 'La1 Tb2 Si2'
_space_group_name_H-M_alt 'P 1'
_space_group_IT_number 1
_space_group_name_Hall 'P 1'
_cell_length_a 4.547
_cell_length_b 5.760
_cell_length_c 5.760
_cell_angle_alpha 69.15
_cell_angle_beta 66.75
_cell_angle_gamma 66.75
loop_
_atom_site_label
_atom_site_type_symbol
_atom_site_fract_x
_atom_site_fract_y
_atom_site_fract_z
La1 La 0.000 0.000 0.000
Tb1 Tb 0.802 0.698 0.698
Tb2 Tb 0.198 0.302 0.302
Si1 Si 0.500 0.311 0.689
Si2 Si 0.500 0.689 0.311
# * calculated volume: 124 Å³/cell
# * DFT total energy: -5.58 eV per atom
# * SG: No. 71
# * total magnetization: 0.0 μB/cell
# * relative energy among the computed polymorphs: 0.18 eV per formula unit

=====

Entry 5:
# CsAlTl2 | Alexandria via LeMat-Bulk | GGA-PBE | relaxed
data_CsAlTl2
_chemical_formula_sum 'Cs1 Al1 Tl2'
_space_group_name_H-M_alt 'P 1'
_space_group_IT_number 1
_space_group_name_Hall 'P 1'
_cell_length_a 4.763
_cell_length_b 4.763
_cell_length_c 8.219
_cell_angle_alpha 73.16
_cell_angle_beta 73.16
_cell_angle_gamma 60.00
loop_
_atom_site_label
_atom_site_type_symbol
_atom_site_fract_x
_atom_site_fract_y
_atom_site_fract_z
Cs1 Cs 0.500 0.500 0.500
Tl1 Tl 0.286 0.286 0.143
Tl2 Tl 0.714 0.714 0.857
Al1 Al 0.000 0.000 0.000
# * energy of formation: 2.1 kJ per mole of atoms
# * calculated volume: 152 Å³/cell
# * DFT total energy: -2.31 eV per atom
# * SG: No. 166
# * total magnetization: 0.0 μB/cell
# * relative energy among the computed polymorphs: 0.00 eV per formula unit

=====

Entry 6:
# Pm6GeTe12 | Alexandria via LeMat-Bulk | GGA-PBE | relaxed
data_Pm6GeTe12
_chemical_formula_sum 'Pm6 Ge1 Te12'
_space_group_name_H-M_alt 'P 1'
_space_group_IT_number 1
_space_group_name_Hall 'P 1'
_cell_length_a 8.877
_cell_length_b 8.877
_cell_length_c 8.877
_cell_angle_alpha 98.88
_cell_angle_beta 98.88
_cell_angle_gamma 98.88
loop_
_atom_site_label
_atom_site_type_symbol
_atom_site_fract_x
_atom_site_fract_y
_atom_site_fract_z
Pm1 Pm 0.684 0.867 0.357
Pm2 Pm 0.643 0.316 0.133
Pm3 Pm 0.133 0.643 0.316
Pm4 Pm 0.316 0.133 0.643
Pm5 Pm 0.357 0.684 0.867
Pm6 Pm 0.867 0.357 0.684
Ge1 Ge 0.000 0.000 0.000
Te1 Te 0.816 0.572 0.429
Te2 Te 0.429 0.816 0.572
Te3 Te 0.572 0.429 0.816
Te4 Te 0.184 0.428 0.571
Te5 Te 0.571 0.184 0.428
Te6 Te 0.428 0.571 0.184
Te7 Te 0.043 0.984 0.329
Te8 Te 0.016 0.671 0.957
Te9 Te 0.671 0.957 0.016
Te10 Te 0.957 0.016 0.671
Te11 Te 0.984 0.329 0.043
Te12 Te 0.329 0.043 0.984
# * calculated volume: 671 Å³/cell
# * DFT total energy: -4.78 eV per atom
# * SG: No. 148
# * total magnetization: 0.0 μB/cell

=====

Number 6 is which compound? Pm6GeTe12